Entry 1:
MnCrIn2 (PBE-GGA, relaxed); M_tot = 0.804 μB per atom; space group = Fm-3m (225); calculated volume = 68 Å³/f.u.; uncorrected energy = -22.427 eV for the cell shown; ΔH_f (0 K) = 1.84 eV/f.u.; Fermi-level density of states = 5.590 states/eV/cell
1.0
0.0000 3.2375 3.2375
3.2375 0.0000 3.2375
3.2375 3.2375 0.0000
Mn Cr In
1 1 2
Cartesian
0.0000 0.0000 0.0000 Mn
3.2375 3.2375 3.2375 Cr
1.6188 1.6188 1.6188 In
4.8563 4.8563 4.8563 In

=====

Entry 2:
CsNp2HgSe4 (PBE-GGA, relaxed); M_tot = 1.111 μB per atom; uncorrected formation energy = -0.85 eV/atom; space group = Cmcm (63); calculated volume = 244 Å³/f.u.; uncorrected energy = -95.609 eV for the cell shown; Fermi-level density of states = 48.353 states/eV/cell
1.0
2.1747 -7.4191 0.0000
2.1747 7.4191 0.0000
0.0000 0.0000 15.1025
Cs Np Hg Se
2 4 2 8
Cartesian
2.1747 5.5986 11.3269 Cs
2.1747 -5.5986 3.7756 Cs
2.1747 1.8605 8.4500 Np
2.1747 1.8605 14.2038 Np
2.1747 -1.8605 0.8987 Np
2.1747 -1.8605 6.6525 Np
2.1747 5.0071 3.7756 Hg
2.1747 -5.0071 11.3269 Hg
0.0000 0.0000 0.0000 Se
0.0000 0.0000 7.5513 Se
2.1747 3.6268 1.4439 Se
2.1747 3.6268 6.1073 Se
2.1747 0.8197 11.3269 Se
2.1747 -0.8197 3.7756 Se
2.1747 -3.6268 8.9952 Se
2.1747 -3.6268 13.6586 Se